The following is a PBE+U calculation of a geometry-optimized ZnCr4O9 structure, from Alexandria via LeMat-Bulk.

```
ZnCr4O9
1.0
8.437 0.000 0.000
0.000 8.437 0.000
0.000 0.000 4.918
Zn Cr O
2 8 18
Cartesian
2.109 2.109 0.073
6.328 6.328 4.844
0.300 7.090 1.905
1.347 4.519 3.013
2.871 8.137 3.013
3.918 5.566 1.905
4.519 2.871 3.013
5.566 0.300 1.905
7.090 3.918 1.905
8.137 1.347 3.013
0.199 1.522 4.639
0.307 3.008 2.295
1.210 0.307 2.295
1.522 4.019 4.639
2.109 6.328 2.459
2.696 0.199 4.639
3.008 3.912 2.295
3.912 1.210 2.295
4.019 2.696 4.639
4.418 5.741 0.279
4.525 7.227 2.623
5.429 4.525 2.623
5.741 8.238 0.279
6.328 2.109 2.459
6.915 4.418 0.279
7.227 8.130 2.623
8.130 5.429 2.623
8.238 6.915 0.279
```

Calculated values
size of the total moment: 8.00 μB per formula unit
calculated density: 3.96 g/cm³
final energy: -0.248 hartree per atom
space-group type: P4/n (85)